(1)
Density functional theory data (PBE) for crystalline PrPaN at its relaxed geometry.

Cell lengths 3.4728, 3.4728, 12.6710 Å; angles 82.12, 82.12, 60.00 degrees
Last column: nearest neighbours and their distance in Å.
Sites, in units of the cell vectors:
Pa 0.0390 0.0390 0.8829  3 N 2.37
Pa 0.9610 0.9610 0.1171  3 N 2.37
N 0.5938 0.5938 0.2187  3 Pa 2.37, 3 Pr 2.61
N 0.4062 0.4062 0.7813  3 Pa 2.37, 3 Pr 2.61
Pr 0.2159 0.2159 0.3523  3 N 2.61
Pr 0.7841 0.7841 0.6477  3 N 2.61

For the total moment, the calculation gives 0.00 μB/f.u. The calculation puts the density of states at the Fermi level at 1.148 states/eV per atom. The value obtained for the raw total energy is -8.2964 eV per atom. The symmetry is R-3m. The calculation puts the formation energy (no corrections) at -0.763 eV/atom.

(2)
Density functional theory data (PBE) for crystalline HgRu3 at its relaxed geometry.

Cell lengths 5.0228, 5.0228, 5.0228 Å; angles 90.00, 90.00, 90.00 degrees
Last column: nearest neighbours and their distance in Å.
Sites, in units of the cell vectors:
Hg 0.0000 0.0000 0.0000  12 Ru 2.81
Hg 0.5000 0.5000 0.5000  12 Ru 2.81
Ru 0.0000 0.2500 0.5000  2 Ru 2.51, 4 Hg 2.81
Ru 0.0000 0.7500 0.5000  2 Ru 2.51, 4 Hg 2.81
Ru 0.2500 0.5000 0.0000  2 Ru 2.51, 4 Hg 2.81
Ru 0.5000 0.0000 0.2500  2 Ru 2.51, 4 Hg 2.81
Ru 0.5000 0.0000 0.7500  2 Ru 2.51, 4 Hg 2.81
Ru 0.7500 0.5000 0.0000  2 Ru 2.51, 4 Hg 2.81

For the total moment, the calculation gives 0.63 μB/f.u. The calculation puts the density of states at the Fermi level at 1.711 states/eV per atom. The value obtained for the raw total energy is -6.2936 eV per atom. The symmetry is Pm-3n. The value obtained for the formation energy is 2.95 eV/f.u.

(3)
Density functional theory data (PBE) for crystalline Pr6TlAu3 at its relaxed geometry.

Cell lengths 7.2488, 9.5535, 9.5535 Å; angles 109.61, 90.00, 90.00 degrees
Last column: nearest neighbours and their distance in Å.
Sites, in units of the cell vectors:
Pr 0.1222 0.7336 0.6643  4 Au 3.05-3.23
Pr 0.6222 0.6643 0.7336  4 Au 3.05-3.23
Pr 0.2501 0.4966 0.9015  3 Au 3.06-3.14, 1 Tl 3.24
Pr 0.7501 0.9015 0.4966  3 Au 3.06-3.14, 1 Tl 3.24
Pr 0.2600 0.9698 0.0302  2 Tl 3.14-3.38, 4 Au 3.15-3.17
Pr 0.6790 0.2747 0.7253  1 Tl 3.32, 3 Au 3.37-3.47, 2 Pr 3.54
Pr 0.1790 0.7253 0.2747  1 Tl 3.32, 3 Au 3.37-3.47, 2 Pr 3.54
Pr 0.7600 0.0302 0.9698  2 Tl 3.14-3.38, 4 Au 3.15-3.17
Pr 0.2501 0.0985 0.5034  3 Au 3.06-3.14, 1 Tl 3.24
Pr 0.7501 0.5034 0.0985  3 Au 3.06-3.14, 1 Tl 3.24
Pr 0.1222 0.3357 0.2664  4 Au 3.05-3.23
Pr 0.6222 0.2664 0.3357  4 Au 3.05-3.23
Tl 0.0749 0.1683 0.8317  5 Pr 3.14-3.38, 2 Au 3.22
Tl 0.5749 0.8317 0.1683  5 Pr 3.14-3.38, 2 Au 3.22
Au 0.4437 0.9726 0.7303  7 Pr 3.06-3.37, 1 Tl 3.22, 1 Au 3.27
Au 0.9437 0.7303 0.9726  7 Pr 3.06-3.37, 1 Tl 3.22, 1 Au 3.27
Au 0.3394 0.4318 0.5682  6 Pr 3.05-3.14
Au 0.8394 0.5682 0.4318  6 Pr 3.05-3.14
Au 0.9437 0.0274 0.2697  7 Pr 3.06-3.37, 1 Tl 3.22, 1 Au 3.27
Au 0.4437 0.2697 0.0274  7 Pr 3.06-3.37, 1 Tl 3.22, 1 Au 3.27

For the total moment, the calculation gives 0.00 μB/f.u. The calculation puts the density of states at the Fermi level at 1.098 states/eV per atom. The value obtained for the raw total energy is -4.5090 eV per atom. The symmetry is Cmc2_1. The value obtained for the formation energy is -4.21 eV/f.u.